Computed, not measured: Co2CuTc after structural relaxation at the PBE-GGA level of DFT.

Offset from the most stable computed form: 36.1 meV per atom
Space group: I4/mmm
M_tot: 0.00 μB/cell
Formation enthalpy at 0 K: 0.162 eV/atom
Uncorrected energy: -7.01 eV per atom

abc: 4.367 4.367 4.367
angles: 130.56 130.56 72.51
Sites, in units of the cell vectors:
Co  0.250  0.750  0.500
Co  0.750  0.250  0.500
Cu  0.000  0.000  0.000
Tc  0.500  0.500  0.000